# GGA-PBEsol TaBiF2, relaxed
data_TaBiF2
_chemical_formula_sum 'Ta2 Bi2 F4'
_cell_length_a 4.377
_cell_length_b 4.377
_cell_length_c 7.706
_cell_angle_alpha 106.50
_cell_angle_beta 106.50
_cell_angle_gamma 90.00
_space_group_name_H-M_alt 'P 1'
_space_group_IT_number 1
loop_
_space_group_symop_operation_xyz
'x,y,z'
loop_
_atom_site_label
_atom_site_fract_x
_atom_site_fract_y
_atom_site_fract_z
F1 0.695 0.375 0.250
F2 0.555 0.875 0.250
F3 0.125 0.305 0.750
F4 0.625 0.445 0.750
Bi1 0.250 0.750 0.500
Bi2 0.000 0.000 0.000
Ta1 0.750 0.250 0.500
Ta2 0.500 0.500 0.000
# total magnetic moment: 0.94 μB/cell
# DFT total energy: -50.0 eV for the cell shown
# symmetry: No. 122
# formation energy from raw total energies: -1077 meV per atom